[1]
Computed, not measured: a PBEsol-optimized structure of BaAlCd at the SCAN level of DFT.

Results
**Size of the total moment**: 0.003 μB/atom
**Energy of formation**: -0.2438 eV/atom

a = 4.988 Å, b = 4.988 Å, c = 4.158 Å
α = 90.00°, β = 90.00°, γ = 120.00°
Sites, in units of the cell vectors:
Ba: 0.000 0.000 0.000
Al: 0.333 0.667 0.500
Cd: 0.667 0.333 0.500

[2]
Computed, not measured: a PBEsol-optimized structure of YTa2P at the SCAN level of DFT.

Results
**Size of the total moment**: 0.000 μB/atom
**Energy of formation**: -0.0475 eV/atom

a = 4.405 Å, b = 3.479 Å, c = 4.868 Å
α = 90.00°, β = 102.25°, γ = 90.00°
Sites, in units of the cell vectors:
Y: 0.000 0.000 0.000
Ta: 0.000 0.500 0.500
Ta: 0.500 0.000 0.500
P: 0.500 0.500 0.000

[3]
Computed, not measured: a PBEsol-optimized structure of Sb2TePb at the SCAN level of DFT.

Results
**Size of the total moment**: 0.000 μB/atom

a = 7.981 Å, b = 7.981 Å, c = 7.981 Å
α = 31.96°, β = 31.96°, γ = 31.96°
Sites, in units of the cell vectors:
Sb: 0.000 0.000 0.000
Sb: 0.267 0.267 0.267
Te: 0.506 0.506 0.506
Pb: 0.764 0.764 0.764

Number 1: final energy -26.149 eV per atom. Number 2: final energy -42.900 eV per atom. Number 3: final energy -47.012 eV per atom.